# 1
PaTlVN4: optimized geometry, GGA-PBE.

a b c (Å): 5.858 5.600 7.552
angles (deg): 90.00 107.95 90.00
Positions (direct):
1 Pa 0.764 0.750 0.452
2 N 0.993 0.007 0.682
3 Tl 0.657 0.250 0.139
4 Pa 0.236 0.250 0.548
5 N 0.993 0.493 0.682
6 N 0.418 0.750 0.534
7 V 0.204 0.750 0.308
8 N 0.556 0.250 0.807
9 N 0.007 0.507 0.318
10 N 0.007 0.993 0.318
11 N 0.582 0.250 0.466
12 Tl 0.343 0.750 0.861
13 V 0.796 0.250 0.692
14 N 0.444 0.750 0.193

Its total magnetization is 0.0000 μB per atom.


# 2
PaTlWN4: optimized geometry, GGA-PBE.

a b c (Å): 6.182 5.987 7.987
angles (deg): 90.00 109.10 90.00
Positions (direct):
1 N 0.051 0.985 0.347
2 N 0.051 0.515 0.347
3 Pa 0.793 0.750 0.446
4 N 0.534 0.250 0.781
5 N 0.485 0.750 0.563
6 Tl 0.671 0.750 0.909
7 W 0.742 0.250 0.652
8 Tl 0.329 0.250 0.091
9 N 0.949 0.015 0.653
10 W 0.258 0.750 0.348
11 N 0.466 0.750 0.219
12 Pa 0.207 0.250 0.554
13 N 0.515 0.250 0.437
14 N 0.949 0.485 0.653

Its total magnetization is 0.0000 μB per atom.


# 3
Tm2PaN: optimized geometry, GGA-PBE.

a b c (Å): 3.275 3.275 9.442
angles (deg): 80.01 80.01 60.00
Positions (direct):
1 Tm 0.118 0.118 0.646
2 Pa 0.000 0.000 0.000
3 N 0.500 0.500 0.500
4 Tm 0.882 0.882 0.354

Its total magnetization is 0.0001 μB per atom.


# 4
TmPa2N: optimized geometry, GGA-PBE.

a b c (Å): 3.382 3.382 9.140
angles (deg): 79.34 79.34 60.00
Positions (direct):
1 Pa 0.279 0.279 0.162
2 Tm 0.500 0.500 0.500
3 N 0.000 0.000 0.000
4 Pa 0.721 0.721 0.838

Its total magnetization is 0.0000 μB per atom.


# 5
TmPa5N6: optimized geometry, GGA-PBE.

a b c (Å): 6.032 6.036 6.034
angles (deg): 59.99 80.42 70.57
Positions (direct):
1 Pa 0.500 0.834 0.331
2 Pa 0.500 0.500 0.000
3 Pa 0.000 0.667 0.666
4 N 0.245 0.918 0.670
5 Tm 0.000 0.000 0.000
6 N 0.245 0.588 0.330
7 N 0.755 0.412 0.670
8 Pa 0.000 0.333 0.334
9 N 0.247 0.248 0.000
10 N 0.753 0.752 0.000
11 N 0.755 0.082 0.330
12 Pa 0.500 0.166 0.669

Its total magnetization is 0.0000 μB per atom.


# 6
TmPa3N: optimized geometry, GGA-PBE.

a b c (Å): 4.822 4.822 4.822
angles (deg): 90.00 90.00 90.00
Positions (direct):
1 Tm 0.500 0.500 0.500
2 N 0.000 0.000 0.000
3 Pa 0.000 0.000 0.500
4 Pa 0.000 0.500 0.000
5 Pa 0.500 0.000 0.000

Its total magnetization is 0.0000 μB per atom.


# 7
Tm3Pa5N12: optimized geometry, GGA-PBE.

a b c (Å): 11.973 11.973 11.973
angles (deg): 109.47 109.47 109.47
Positions (direct):
1 Tm 0.750 0.375 0.125
2 N 0.859 0.561 0.891
3 N 0.061 0.170 0.203
4 Pa 0.500 0.000 0.500
5 N 0.439 0.297 0.330
6 N 0.109 0.170 0.468
7 N 0.609 0.968 0.670
8 N 0.468 0.797 0.859
9 N 0.439 0.141 0.609
10 N 0.032 0.391 0.830
11 N 0.641 0.032 0.203
12 Tm 0.375 0.625 0.250
13 N 0.359 0.968 0.797
14 Tm 0.250 0.125 0.375
15 N 0.703 0.141 0.032
16 N 0.797 0.330 0.939
17 N 0.561 0.703 0.670
18 Pa 0.625 0.750 0.875
19 N 0.330 0.532 0.391
20 N 0.468 0.670 0.109
21 N 0.891 0.830 0.532
22 Tm 0.875 0.125 0.250
23 Pa 0.250 0.875 0.125
24 Pa 0.625 0.875 0.250
25 N 0.670 0.468 0.609
26 N 0.561 0.859 0.391
27 Tm 0.250 0.625 0.875
28 N 0.939 0.109 0.641
29 N 0.797 0.468 0.359
30 Pa 0.500 0.500 0.000
31 Pa 0.375 0.250 0.125
32 Pa 0.000 0.000 0.500
33 N 0.968 0.609 0.170
34 N 0.032 0.641 0.703
35 Tm 0.125 0.875 0.750
36 Pa 0.000 0.500 0.500
37 N 0.830 0.939 0.297
38 N 0.859 0.297 0.468
39 N 0.061 0.891 0.359
40 N 0.609 0.641 0.439
41 N 0.532 0.203 0.141
42 Pa 0.250 0.375 0.625
43 N 0.359 0.391 0.061
44 Tm 0.750 0.875 0.625
45 N 0.968 0.359 0.297
46 Pa 0.000 0.500 0.000
47 N 0.297 0.859 0.968
48 Pa 0.500 0.000 0.000
49 Tm 0.875 0.750 0.125
50 Tm 0.625 0.250 0.375
51 Pa 0.375 0.125 0.750
52 Pa 0.500 0.500 0.500
53 Pa 0.000 0.000 0.000
54 N 0.203 0.670 0.061
55 Tm 0.625 0.375 0.750
56 N 0.297 0.439 0.830
57 N 0.891 0.061 0.859
58 N 0.670 0.203 0.561
59 N 0.532 0.330 0.891
60 Tm 0.375 0.750 0.625
61 Pa 0.750 0.625 0.375
62 N 0.641 0.609 0.939
63 N 0.109 0.939 0.141
64 Tm 0.125 0.250 0.875
65 Pa 0.875 0.250 0.625
66 N 0.703 0.561 0.170
67 Pa 0.125 0.750 0.375
68 Pa 0.750 0.125 0.875
69 N 0.170 0.061 0.703
70 N 0.141 0.703 0.532
71 N 0.391 0.032 0.330
72 N 0.170 0.109 0.968
73 N 0.203 0.532 0.641
74 N 0.141 0.439 0.109
75 N 0.939 0.830 0.797
76 Pa 0.875 0.625 0.750
77 N 0.330 0.797 0.439
78 N 0.830 0.891 0.032
79 N 0.391 0.359 0.561
80 Pa 0.125 0.375 0.250

Its total magnetization is 0.0000 μB per atom.


# 8
TmPa4N5: optimized geometry, GGA-PBE.

a b c (Å): 4.920 6.030 6.030
angles (deg): 80.42 65.92 65.92
Positions (direct):
1 Pa 0.400 0.400 0.802
2 Tm 0.001 0.000 0.000
3 Pa 0.202 0.198 0.400
4 N 0.101 0.604 0.196
5 N 0.501 0.000 0.000
6 N 0.297 0.804 0.604
7 N 0.901 0.396 0.804
8 Pa 0.800 0.802 0.600
9 Pa 0.602 0.600 0.198
10 N 0.705 0.196 0.396

Its total magnetization is 0.0000 μB per atom.


Record order is preserved below.
Calculated density: 7.643 8.029 11.262 12.111 13.032 12.979 9.199 12.952 g/cm3
Record order is preserved below.
Raw formation energy: -592 -583 -625 -564 -1655 -504 -1241 -1657 meV/atom